The following is a GGA-PBE calculation of a geometry-optimized KHRuF6 structure, from the Alexandria database.

- uncorrected energy (eV/f.u.) = -42.73
- magnetization (μB/f.u.) = 2.00
- SG = P1 (1)
- DOS(E_F) (states/eV/f.u.) = 3.25

Cell lengths 4.9122, 5.3893, 5.4916 Å; angles 95.78, 92.70, 106.95 degrees
With the nearest neighbours (Å) after each atom.
Atoms (fractional coordinates):
K 0.0000 0.0000 0.0000  6 F 2.58-2.82
H 0.1129 0.5757 0.3208  2 F 1.15-1.16
Ru 0.5765 0.4245 0.5122  6 F 1.90-2.09
F 0.2571 0.1831 0.6288  1 Ru 1.91
F 0.2920 0.4938 0.2516  1 H 1.16
F 0.5379 0.7205 0.7088  1 Ru 1.90
F 0.6100 0.1490 0.2796  1 Ru 1.91
F 0.8298 0.3830 0.7709  1 Ru 1.92
F 0.9299 0.6625 0.3636  1 H 1.15



The following is a GGA-PBE calculation of a geometry-optimized Be2AlH4 structure, from the Alexandria database.

- uncorrected energy (eV/f.u.) = -20.41
- magnetization (μB/f.u.) = 0.00
- SG = I4/mmm (139)
- DOS(E_F) (states/eV/f.u.) = 1.54

Cell lengths 5.0438, 5.0438, 5.0438 Å; angles 135.38, 135.38, 64.94 degrees
With the nearest neighbours (Å) after each atom.
Atoms (fractional coordinates):
Be 0.1123 0.1123 0.0000  1 H 1.41
Be 0.8877 0.8877 0.0000  1 H 1.41
Al 0.5000 0.5000 0.0000  6 H 1.89-1.91
H 0.0000 0.5000 0.5000  2 Al 1.91, 4 Be 2.14
H 0.2775 0.2775 0.0000  1 Be 1.41
H 0.5000 0.0000 0.5000  2 Al 1.91, 4 Be 2.14
H 0.7225 0.7225 0.0000  1 Be 1.41



The lowest DOS(E_F) belongs to which entry? Be2AlH4